Ag2HgWSeS3 | PBE-GGA | optimized geometry Values from VASP.

The structure in Quantum ESPRESSO input format:
```
&SYSTEM
  ibrav = 0, nat = 8, ntyp = 5
/
ATOMIC_SPECIES
Hg 200.59 Hg.upf
W 183.84 W.upf
Se 78.96 Se.upf
S 32.06 S.upf
Ag 107.87 Ag.upf
CELL_PARAMETERS angstrom
4.545 -4.541 0.000
4.545 4.541 0.000
-4.476 0.000 5.030
ATOMIC_POSITIONS angstrom
Hg -4.428 0.000 5.006
W 0.027 0.000 4.982
Se 6.429 0.000 1.337
S 0.030 1.819 3.700
Ag 2.313 -2.187 2.572
S 0.030 -1.819 3.700
Ag 2.313 2.187 2.572
S 2.722 0.000 1.284
```

Properties
**Space group**: No. 8
**Density**: 6201 kg/m3
**DFT total energy**: -36.1 eV/cell


In2MoC | PBE-GGA | optimized geometry Values from VASP.

The structure in Quantum ESPRESSO input format:
```
&SYSTEM
  ibrav = 0, nat = 8, ntyp = 3
/
ATOMIC_SPECIES
C 12.01 C.upf
Mo 95.94 Mo.upf
In 114.82 In.upf
CELL_PARAMETERS angstrom
-2.075 0.917 2.218
1.061 -2.990 -0.040
11.493 3.959 9.117
ATOMIC_POSITIONS angstrom
C 0.000 0.000 0.000
Mo 8.636 1.282 7.550
In 1.149 -1.297 1.612
In 9.330 3.184 9.683
In 4.629 -0.098 4.372
In 5.850 1.985 6.923
Mo 1.844 0.605 3.744
C 5.746 1.980 4.558
```

Properties
**Space group**: No. 194
**Density**: 8464 kg/m3
**DFT total energy**: -42.2 eV/cell


Li4TlIr2Pb | PBE-GGA | optimized geometry Values from VASP.

The structure in Quantum ESPRESSO input format:
```
&SYSTEM
  ibrav = 0, nat = 8, ntyp = 4
/
ATOMIC_SPECIES
Tl 204.38 Tl.upf
Li 6.94 Li.upf
Ir 192.22 Ir.upf
Pb 207.20 Pb.upf
CELL_PARAMETERS angstrom
-3.650 2.420 1.107
0.568 -1.128 4.338
3.670 5.142 0.857
ATOMIC_POSITIONS angstrom
Tl 0.293 3.217 3.151
Li 1.212 0.736 2.386
Li -1.541 0.646 2.723
Li 0.917 5.052 1.194
Li 1.835 2.571 0.429
Ir -0.922 2.476 0.765
Pb 0.000 0.000 0.000
Ir 3.050 3.312 2.815
```

Properties
**Space group**: No. 115
**Density**: 10513 kg/m3
**DFT total energy**: -32.5 eV/cell


Lu2ZnIn | PBE-GGA | optimized geometry Values from VASP.

The structure in Quantum ESPRESSO input format:
```
&SYSTEM
  ibrav = 0, nat = 4, ntyp = 3
/
ATOMIC_SPECIES
Lu 174.97 Lu.upf
In 114.82 In.upf
Zn 65.41 Zn.upf
CELL_PARAMETERS angstrom
0.000 3.640 3.640
3.640 0.000 3.640
3.640 3.640 0.000
ATOMIC_POSITIONS angstrom
Lu 5.460 5.460 5.460
Lu 0.000 0.000 0.000
In 3.640 3.640 3.640
Zn 1.820 1.820 1.820
```

Properties
**Space group**: No. 216
**Density**: 9127 kg/m3
**DFT total energy**: -12.9 eV/cell


YTaOs2 | PBE-GGA | optimized geometry Values from VASP.

The structure in Quantum ESPRESSO input format:
```
&SYSTEM
  ibrav = 0, nat = 4, ntyp = 3
/
ATOMIC_SPECIES
Y 88.91 Y.upf
Os 190.23 Os.upf
Ta 180.95 Ta.upf
CELL_PARAMETERS angstrom
1.077 -2.129 3.938
-0.838 2.058 4.033
-3.338 -1.588 2.746
ATOMIC_POSITIONS angstrom
Y -1.549 -0.830 5.359
Os 0.000 0.000 0.000
Ta -0.775 -0.415 2.679
Os -2.324 -1.244 8.038
```

Properties
**Space group**: No. 216
**ΔE_f**: 294 meV per atom
**Density**: 15643 kg/m3
**DFT total energy**: -39.6 eV/cell


LuTlNO | PBE-GGA | optimized geometry Values from VASP.

The structure in Quantum ESPRESSO input format:
```
&SYSTEM
  ibrav = 0, nat = 16, ntyp = 4
/
ATOMIC_SPECIES
Lu 174.97 Lu.upf
O 16.00 O.upf
Tl 204.38 Tl.upf
N 14.01 N.upf
CELL_PARAMETERS angstrom
6.591 0.000 0.000
0.000 7.519 0.000
0.000 0.000 5.819
ATOMIC_POSITIONS angstrom
Lu 6.015 6.620 2.887
O 0.348 4.780 3.395
O 6.243 2.739 0.486
Tl 6.041 2.690 2.921
N 0.659 0.765 3.612
Lu 2.720 0.899 2.887
N 2.637 0.765 0.703
N 5.932 6.755 0.703
Tl 2.746 4.829 2.921
Lu 3.871 6.620 5.796
Tl 3.845 2.690 0.012
N 3.954 6.755 3.612
O 3.644 2.739 3.395
Lu 0.576 0.899 5.796
Tl 0.550 4.829 0.012
O 2.947 4.780 0.486
```

Properties
**Space group**: No. 29
**E above lowest polymorph**: 0.2005 eV per atom
**Density**: 9429 kg/m3
**DFT total energy**: -98.7 eV/cell


CsTaBi | PBE-GGA | optimized geometry Values from VASP.

The structure in Quantum ESPRESSO input format:
```
&SYSTEM
  ibrav = 0, nat = 3, ntyp = 3
/
ATOMIC_SPECIES
Cs 132.91 Cs.upf
Bi 208.98 Bi.upf
Ta 180.95 Ta.upf
CELL_PARAMETERS angstrom
-5.245 1.013 1.443
-3.508 2.190 -3.677
-4.091 -3.081 -2.096
ATOMIC_POSITIONS angstrom
Cs 0.000 0.000 0.000
Bi -3.211 0.031 -1.083
Ta -9.633 0.092 -3.248
```

Properties
**Space group**: No. 216
**E above lowest polymorph**: 0.8494 eV per atom
**Density**: 7245 kg/m3
**DFT total energy**: -10.2 eV/cell


YTm2Al2Zn3Cd | PBE-GGA | optimized geometry Values from VASP.

The structure in Quantum ESPRESSO input format:
```
&SYSTEM
  ibrav = 0, nat = 9, ntyp = 5
/
ATOMIC_SPECIES
Tm 168.93 Tm.upf
Al 26.98 Al.upf
Zn 65.41 Zn.upf
Cd 112.41 Cd.upf
Y 88.91 Y.upf
CELL_PARAMETERS angstrom
4.458 0.000 0.000
0.000 6.047 3.465
0.000 -6.047 3.465
ATOMIC_POSITIONS angstrom
Tm 0.000 -3.416 1.968
Al 2.229 2.028 3.473
Al 2.229 -2.028 3.473
Zn 2.229 0.000 5.221
Cd 0.000 0.000 6.902
Y 0.000 0.000 3.007
Zn 2.229 4.550 4.320
Tm 0.000 3.416 1.968
Zn 2.229 -4.550 4.320
```

Properties
**Space group**: No. 38
**Density**: 7016 kg/m3
**DFT total energy**: -31.0 eV/cell